Entry w
The following is a DFT calculation (PBE) of a geometry-optimized NiRuSeBr2 structure.

Summary:
* total magnetization: 1.00 μB/cell

Unit cell a=5.2413 b=5.2413 c=4.6040 alpha=90.00 beta=90.00 gamma=90.00
Closest atoms and distances in Å follow each position.
Sites, in units of the cell vectors:
Ru: 0.0000 0.0000 0.0000  2 Se 2.30
Se: 0.0000 0.0000 0.5000  2 Ru 2.30
Br: 0.0000 0.5000 0.0000  2 Ru 2.62
Br: 0.5000 0.0000 0.0000  2 Ru 2.62
Ni: 0.5000 0.5000 0.5000  8 Br 3.49, 4 Se 3.71



Entry x
The following is a DFT calculation (PBE) of a geometry-optimized NiRuSeBr2 structure.

Summary:
* total magnetization: 3.93 μB/cell

Unit cell a=4.8261 b=4.8261 c=4.8345 alpha=90.00 beta=90.00 gamma=90.00
Closest atoms and distances in Å follow each position.
Sites, in units of the cell vectors:
Ru: 0.5000 0.5000 0.5000  4 Se 3.41, 8 Br 3.42
Se: 0.0000 0.0000 0.5000  2 Ni 2.42
Br: 0.0000 0.5000 0.0000  2 Ni 2.41
Br: 0.5000 0.0000 0.0000  2 Ni 2.41
Ni: 0.0000 0.0000 0.0000  4 Br 2.41, 2 Se 2.42



Most stable structure - entry w; separation to the second - 83 meV/atom.



Entry w
The following is a DFT calculation (PBE) of a geometry-optimized NiRuSe2Br structure.

Summary:
* total magnetization: 3.55 μB/cell

Unit cell a=4.7040 b=4.7040 c=4.8216 alpha=90.00 beta=90.00 gamma=90.00
Closest atoms and distances in Å follow each position.
Sites, in units of the cell vectors:
Ru: 0.5000 0.5000 0.5000  4 Br 3.33, 8 Se 3.37
Se: 0.0000 0.5000 0.0000  2 Ni 2.35
Se: 0.5000 0.0000 0.0000  2 Ni 2.35
Br: 0.0000 0.0000 0.5000  2 Ni 2.41
Ni: 0.0000 0.0000 0.0000  4 Se 2.35, 2 Br 2.41



Entry x
The following is a DFT calculation (PBE) of a geometry-optimized NiRuSe2Br structure.

Summary:
* total magnetization: 0.99 μB/cell

Unit cell a=4.7390 b=5.3714 c=4.7390 alpha=90.00 beta=90.00 gamma=90.00
Closest atoms and distances in Å follow each position.
Sites, in units of the cell vectors:
Ru: 0.0000 0.0000 0.0000  4 Se 2.37
Se: 0.0000 0.0000 0.5000  2 Ru 2.37
Se: 0.5000 0.0000 0.0000  2 Ru 2.37
Br: 0.0000 0.5000 0.0000  2 Ru 2.69
Ni: 0.5000 0.5000 0.5000  4 Br 3.35, 8 Se 3.58



Most stable structure - entry x; separation to the second - 63 meV/atom.



Entry w
The following is a DFT calculation (PBE) of a geometry-optimized NiS2Br structure.

Summary:
* total magnetization: 0.00 μB/cell

Unit cell a=6.1579 b=6.1579 c=6.3007 alpha=60.75 beta=60.75 gamma=90.00
Closest atoms and distances in Å follow each position.
Sites, in units of the cell vectors:
Ni: 0.5000 0.5000 0.0000  4 S 2.13
Ni: 0.2500 0.7500 0.5000  4 S 2.13
S: 0.5267 0.1250 0.2500  2 Ni 2.13
S: 0.2233 0.6250 0.2500  2 Ni 2.13
S: 0.3750 0.4733 0.7500  2 Ni 2.13
S: 0.8750 0.7767 0.7500  2 Ni 2.13
Br: 0.0000 0.0000 0.0000  4 S 2.87
Br: 0.7500 0.2500 0.5000  4 S 2.87



Entry x
The following is a DFT calculation (PBE) of a geometry-optimized NiS2Br structure.

Summary:
* total magnetization: 0.82 μB/cell

Unit cell a=4.5502 b=4.5502 c=4.5502 alpha=60.00 beta=60.00 gamma=60.00
Closest atoms and distances in Å follow each position.
Sites, in units of the cell vectors:
Ni: 0.0000 0.0000 0.0000  8 S 2.79
S: 0.2500 0.2500 0.2500  4 Br 2.79, 4 Ni 2.79
S: 0.7500 0.7500 0.7500  4 Ni 2.79, 4 Br 2.79
Br: 0.5000 0.5000 0.5000  8 S 2.79



Most stable structure - entry w; separation to the second - 839 meV/atom.



Entry w
The following is a DFT calculation (PBE) of a geometry-optimized NiS2Br structure.

Summary:
* total magnetization: 0.00 μB/cell

Unit cell a=3.4973 b=3.7396 c=7.4009 alpha=89.96 beta=90.02 gamma=89.98
Closest atoms and distances in Å follow each position.
Sites, in units of the cell vectors:
Ni: 0.8651 0.0722 0.1697  2 S 2.13
S: 0.3653 0.0722 0.3338  1 S 1.92, 2 Ni 2.13
S: 0.3658 0.0718 0.5930  1 S 1.92
Br: 0.8660 0.5725 0.9688  2 Ni 2.39



Entry x
The following is a DFT calculation (PBE) of a geometry-optimized NiS2Br structure.

Summary:
* total magnetization: 0.00 μB/cell

Unit cell a=7.4745 b=7.4745 c=7.4745 alpha=27.37 beta=27.37 gamma=27.37
Closest atoms and distances in Å follow each position.
Sites, in units of the cell vectors:
Ni: 0.5000 0.5000 0.5000  6 S 2.32
S: 0.8845 0.8845 0.8845  3 Ni 2.32, 1 Br 2.49
S: 0.1155 0.1155 0.1155  3 Ni 2.32, 1 Br 2.49
Br: 0.0000 0.0000 0.0000  2 S 2.49



Most stable structure - entry x; separation to the second - 93 meV/atom.



Entry w
The following is a DFT calculation (PBE) of a geometry-optimized NiSBr2 structure.

Summary:
* total magnetization: 0.08 μB/cell

Unit cell a=4.7958 b=4.7958 c=4.7958 alpha=60.00 beta=60.00 gamma=60.00
Closest atoms and distances in Å follow each position.
Sites, in units of the cell vectors:
Ni: 0.5000 0.5000 0.5000  8 Br 2.94
S: 0.0000 0.0000 0.0000  8 Br 2.94
Br: 0.2500 0.2500 0.2500  4 S 2.94, 4 Ni 2.94
Br: 0.7500 0.7500 0.7500  4 S 2.94, 4 Ni 2.94



Entry x
The following is a DFT calculation (PBE) of a geometry-optimized NiSBr2 structure.

Summary:
* total magnetization: 0.29 μB/cell

Unit cell a=6.7988 b=6.7988 c=6.4410 alpha=58.14 beta=58.14 gamma=90.00
Closest atoms and distances in Å follow each position.
Sites, in units of the cell vectors:
Ni: 0.0000 0.0000 0.0000  4 Br 2.37
Ni: 0.7500 0.2500 0.5000  4 Br 2.37
S: 0.5000 0.5000 0.0000  4 Br 2.94
S: 0.2500 0.7500 0.5000  4 Br 2.94
Br: 0.6912 0.1250 0.2500  2 Ni 2.37
Br: 0.0588 0.6250 0.2500  2 Ni 2.37
Br: 0.3750 0.3088 0.7500  2 Ni 2.37
Br: 0.8750 0.9412 0.7500  2 Ni 2.37



Most stable structure - entry x; separation to the second - 432 meV/atom.



Entry w
The following is a DFT calculation (PBE) of a geometry-optimized NiSBr3 structure.

Summary:
* total magnetization: 0.00 μB/cell

Unit cell a=4.8538 b=4.8538 c=4.8538 alpha=90.00 beta=90.00 gamma=90.00
Closest atoms and distances in Å follow each position.
Sites, in units of the cell vectors:
Ni: 0.0000 0.0000 0.0000  6 Br 2.43
S: 0.5000 0.5000 0.5000  12 Br 3.43
Br: 0.0000 0.5000 0.0000  2 Ni 2.43
Br: 0.0000 0.0000 0.5000  2 Ni 2.43
Br: 0.5000 0.0000 0.0000  2 Ni 2.43



Entry x
The following is a DFT calculation (PBE) of a geometry-optimized NiSBr3 structure.

Summary:
* total magnetization: 1.06 μB/cell

Unit cell a=5.1364 b=5.1364 c=5.1364 alpha=90.00 beta=90.00 gamma=90.00
Closest atoms and distances in Å follow each position.
Sites, in units of the cell vectors:
Ni: 0.5000 0.5000 0.5000  12 Br 3.63
S: 0.0000 0.0000 0.0000  6 Br 2.57
Br: 0.0000 0.5000 0.0000  2 S 2.57
Br: 0.0000 0.0000 0.5000  2 S 2.57
Br: 0.5000 0.0000 0.0000  2 S 2.57



Most stable structure - entry w; separation to the second - 262 meV/atom.